[1]
# PBE with a Hubbard U CoO, optimized geometry
# Crystal system: hexagonal
data_CoO
_chemical_formula_sum 'Co2 O2'
_cell_length_a 3.2979
_cell_length_b 3.2979
_cell_length_c 5.2398
_cell_angle_alpha 90.00
_cell_angle_beta 90.00
_cell_angle_gamma 120.00
_symmetry_space_group_name_H-M 'P 63 m c'
_symmetry_Int_Tables_number 186
_symmetry_space_group_name_Hall 'P 6c -2c'
loop_
_atom_site_label
_atom_site_type_symbol
_atom_site_fract_x
_atom_site_fract_y
_atom_site_fract_z
Co1 Co 0.3333 0.6667 0.0000
O1 O 0.3333 0.6667 0.6167

=====

[2]
# PBE with a Hubbard U CoO2, optimized geometry
# Crystal system: tetragonal
data_CoO2
_chemical_formula_sum 'Co8 O16'
_cell_length_a 5.614
_cell_length_b 5.614
_cell_length_c 8.077
_cell_angle_alpha 90.00
_cell_angle_beta 90.00
_cell_angle_gamma 90.00
_symmetry_space_group_name_H-M 'I 41/a'
_symmetry_Int_Tables_number 88
loop_
_symmetry_equiv_pos_as_xyz
'x,y,z'
'-x,-y,-z'
'-y+3/4,x+1/4,z+1/4'
'y+3/4,-x+1/4,-z+1/4'
'-x+1/2,-y,z+1/2'
'x+1/2,y,-z+1/2'
'y+3/4,-x+3/4,z+3/4'
'-y+3/4,x+3/4,-z+3/4'
'x+1/2,y+1/2,z+1/2'
'-x+1/2,-y+1/2,-z+1/2'
'-y+1/4,x+3/4,z+3/4'
'y+1/4,-x+3/4,-z+3/4'
'-x,-y+1/2,z'
'x,y+1/2,-z'
'y+1/4,-x+1/4,z+1/4'
'-y+1/4,x+1/4,-z+1/4'
loop_
_atom_site_label
_atom_site_type_symbol
_atom_site_fract_x
_atom_site_fract_y
_atom_site_fract_z
Co1 Co 0.000 0.000 0.000
O1 O 0.001 0.027 0.234

=====

[3]
# PBE with a Hubbard U CoO, optimized geometry
# Crystal system: trigonal
data_CoO
_chemical_formula_sum 'Co9 O9'
_cell_length_a 3.2874
_cell_length_b 3.2874
_cell_length_c 23.7397
_cell_angle_alpha 90.00
_cell_angle_beta 90.00
_cell_angle_gamma 120.00
_symmetry_space_group_name_H-M 'R 3 m'
_symmetry_Int_Tables_number 160
_symmetry_space_group_name_Hall 'R 3 -2"'
loop_
_atom_site_label
_atom_site_type_symbol
_atom_site_fract_x
_atom_site_fract_y
_atom_site_fract_z
Co1 Co 0.0000 0.0000 0.0000
Co2 Co 0.0000 0.0000 0.2216
Co3 Co 0.0000 0.0000 0.7775
O1 O 0.0000 0.0000 0.1372
O2 O 0.0000 0.0000 0.6931
O3 O 0.0000 0.0000 0.9151

=====

[4]
# PBE with a Hubbard U CoO2, optimized geometry
# Crystal system: hexagonal
data_CoO2
_chemical_formula_sum 'Co2 O4'
_cell_length_a 2.8367
_cell_length_b 2.8367
_cell_length_c 10.4928
_cell_angle_alpha 90.00
_cell_angle_beta 90.00
_cell_angle_gamma 120.00
_symmetry_space_group_name_H-M 'P 63/m m c'
_symmetry_Int_Tables_number 194
_symmetry_space_group_name_Hall '-P 6c 2c'
loop_
_atom_site_label
_atom_site_type_symbol
_atom_site_fract_x
_atom_site_fract_y
_atom_site_fract_z
Co1 Co 0.0000 0.0000 0.0000
O1 O 0.3333 0.6667 0.0899

=====

[5]
# PBE with a Hubbard U CoO, optimized geometry
# Crystal system: orthorhombic
data_CoO
_chemical_formula_sum 'Co6 O6'
_cell_length_a 9.231
_cell_length_b 3.180
_cell_length_c 5.661
_cell_angle_alpha 90.00
_cell_angle_beta 90.00
_cell_angle_gamma 90.00
_symmetry_space_group_name_H-M 'P m n 21'
_symmetry_Int_Tables_number 31
loop_
_symmetry_equiv_pos_as_xyz
'x,y,z'
'-x+1/2,-y,z+1/2'
'-x,y,z'
'x+1/2,-y,z+1/2'
loop_
_atom_site_label
_atom_site_type_symbol
_atom_site_fract_x
_atom_site_fract_y
_atom_site_fract_z
Co1 Co 0.000 0.017 0.000
Co2 Co 0.207 0.373 0.722
O1 O 0.000 0.527 0.784
O2 O 0.207 0.125 0.066

=====

[6]
# PBE with a Hubbard U CoO2, optimized geometry
# Crystal system: orthorhombic
data_CoO2
_chemical_formula_sum 'Co4 O8'
_cell_length_a 2.841
_cell_length_b 4.909
_cell_length_c 10.207
_cell_angle_alpha 90.00
_cell_angle_beta 90.00
_cell_angle_gamma 90.00
_symmetry_space_group_name_H-M 'C m c e'
_symmetry_Int_Tables_number 64
_symmetry_space_group_name_Hall '-C 2ac 2'
loop_
_atom_site_label
_atom_site_type_symbol
_atom_site_fract_x
_atom_site_fract_y
_atom_site_fract_z
Co1 Co 0.000 0.000 0.000
O1 O 0.000 0.167 0.408

=====

[7]
# PBE with a Hubbard U CoO, optimized geometry
# Crystal system: cubic
data_CoO
_chemical_formula_sum 'Co4 O4'
_cell_length_a 4.622
_cell_length_b 4.622
_cell_length_c 4.622
_cell_angle_alpha 90.00
_cell_angle_beta 90.00
_cell_angle_gamma 90.00
_symmetry_space_group_name_H-M 'F -4 3 m'
_symmetry_Int_Tables_number 216
_symmetry_space_group_name_Hall 'F -4 2 3'
loop_
_atom_site_label
_atom_site_type_symbol
_atom_site_fract_x
_atom_site_fract_y
_atom_site_fract_z
Co1 Co 0.000 0.000 0.000
O1 O 0.250 0.250 0.250

=====

[8]
# PBE with a Hubbard U CoO2, optimized geometry
# Crystal system: trigonal
data_CoO2
_chemical_formula_sum 'Co3 O6'
_cell_length_a 2.8391
_cell_length_b 2.8391
_cell_length_c 14.9126
_cell_angle_alpha 90.00
_cell_angle_beta 90.00
_cell_angle_gamma 120.00
_symmetry_space_group_name_H-M 'R -3 m'
_symmetry_Int_Tables_number 166
_symmetry_space_group_name_Hall '-R 3 2"'
loop_
_atom_site_label
_atom_site_type_symbol
_atom_site_fract_x
_atom_site_fract_y
_atom_site_fract_z
Co1 Co 0.0000 0.0000 0.0000
O1 O 0.0000 0.0000 0.2702

=====

[9]
# PBE with a Hubbard U CoO, optimized geometry
# Crystal system: hexagonal
data_CoO
_chemical_formula_sum 'Co6 O6'
_cell_length_a 7.7928
_cell_length_b 7.7928
_cell_length_c 3.3954
_cell_angle_alpha 90.00
_cell_angle_beta 90.00
_cell_angle_gamma 120.00
_symmetry_space_group_name_H-M 'P 63/m'
_symmetry_Int_Tables_number 176
_symmetry_space_group_name_Hall '-P 6c'
loop_
_atom_site_label
_atom_site_type_symbol
_atom_site_fract_x
_atom_site_fract_y
_atom_site_fract_z
Co1 Co 0.0785 0.6707 0.2500
O1 O 0.0790 0.4042 0.2500

=====

[10]
# PBE with a Hubbard U CoO, optimized geometry
# Crystal system: tetragonal
data_CoO
_chemical_formula_sum 'Co2 O2'
_cell_length_a 2.986
_cell_length_b 2.986
_cell_length_c 4.491
_cell_angle_alpha 90.00
_cell_angle_beta 90.00
_cell_angle_gamma 90.00
_symmetry_space_group_name_H-M 'I 4/m m m'
_symmetry_Int_Tables_number 139
_symmetry_space_group_name_Hall '-I 4 2'
loop_
_atom_site_label
_atom_site_type_symbol
_atom_site_fract_x
_atom_site_fract_y
_atom_site_fract_z
Co1 Co 0.000 0.000 0.000
O1 O 0.000 0.000 0.500

=====

[11]
# PBE with a Hubbard U Co5O8, optimized geometry
# Crystal system: cubic
data_Co5O8
_chemical_formula_sum 'Co20 O32'
_cell_length_a 8.082
_cell_length_b 8.082
_cell_length_c 8.082
_cell_angle_alpha 90.00
_cell_angle_beta 90.00
_cell_angle_gamma 90.00
_symmetry_space_group_name_H-M 'F -4 3 m'
_symmetry_Int_Tables_number 216
_symmetry_space_group_name_Hall 'F -4 2 3'
loop_
_atom_site_label
_atom_site_type_symbol
_atom_site_fract_x
_atom_site_fract_y
_atom_site_fract_z
Co1 Co 0.000 0.000 0.000
Co2 Co 0.124 0.124 0.376
O1 O 0.107 0.107 0.607
O2 O 0.138 0.138 0.138

=====

[12]
# PBE with a Hubbard U CoO2, optimized geometry
# Crystal system: tetragonal
data_CoO2
_chemical_formula_sum 'Co2 O4'
_cell_length_a 3.876
_cell_length_b 3.876
_cell_length_c 4.026
_cell_angle_alpha 90.00
_cell_angle_beta 90.00
_cell_angle_gamma 90.00
_symmetry_space_group_name_H-M 'I 4/m m m'
_symmetry_Int_Tables_number 139
_symmetry_space_group_name_Hall '-I 4 2'
loop_
_atom_site_label
_atom_site_type_symbol
_atom_site_fract_x
_atom_site_fract_y
_atom_site_fract_z
Co1 Co 0.000 0.000 0.000
O1 O 0.000 0.500 0.000

=====

[13]
# PBE with a Hubbard U Co4O, optimized geometry
# Crystal system: cubic
data_Co4O
_chemical_formula_sum 'Co4 O1'
_cell_length_a 3.817
_cell_length_b 3.817
_cell_length_c 3.817
_cell_angle_alpha 90.00
_cell_angle_beta 90.00
_cell_angle_gamma 90.00
_symmetry_space_group_name_H-M 'P m -3 m'
_symmetry_Int_Tables_number 221
_symmetry_space_group_name_Hall '-P 4 2 3'
loop_
_atom_site_label
_atom_site_type_symbol
_atom_site_fract_x
_atom_site_fract_y
_atom_site_fract_z
Co1 Co 0.000 0.000 0.000
Co2 Co 0.000 0.500 0.500
O1 O 0.500 0.500 0.500

=====

[14]
# PBE with a Hubbard U CoO, optimized geometry
# Crystal system: tetragonal
data_CoO
_chemical_formula_sum 'Co8 O8'
_cell_length_a 8.245
_cell_length_b 8.245
_cell_length_c 3.448
_cell_angle_alpha 90.00
_cell_angle_beta 90.00
_cell_angle_gamma 90.00
_symmetry_space_group_name_H-M 'I 4/m'
_symmetry_Int_Tables_number 87
_symmetry_space_group_name_Hall '-I 4'
loop_
_atom_site_label
_atom_site_type_symbol
_atom_site_fract_x
_atom_site_fract_y
_atom_site_fract_z
Co1 Co 0.119 0.295 0.000
O1 O 0.116 0.709 0.000

=====

[15]
# PBE with a Hubbard U CoO2, optimized geometry
# Crystal system: orthorhombic
data_CoO2
_chemical_formula_sum 'Co8 O16'
_cell_length_a 2.771
_cell_length_b 9.108
_cell_length_c 9.270
_cell_angle_alpha 90.00
_cell_angle_beta 90.00
_cell_angle_gamma 90.00
_symmetry_space_group_name_H-M 'C m c m'
_symmetry_Int_Tables_number 63
_symmetry_space_group_name_Hall '-C 2c 2'
loop_
_atom_site_label
_atom_site_type_symbol
_atom_site_fract_x
_atom_site_fract_y
_atom_site_fract_z
Co1 Co 0.000 0.134 0.072
O1 O 0.000 0.061 0.250
O2 O 0.000 0.235 0.607
O3 O 0.000 0.500 0.000

=====

[16]
# PBE with a Hubbard U CoO2, optimized geometry
# Crystal system: monoclinic
data_CoO2
_chemical_formula_sum 'Co2 O4'
_cell_length_a 4.916
_cell_length_b 2.837
_cell_length_c 5.015
_cell_angle_alpha 90.00
_cell_angle_beta 91.99
_cell_angle_gamma 90.00
_symmetry_space_group_name_H-M 'C 1 2/m 1'
_symmetry_Int_Tables_number 12
loop_
_symmetry_equiv_pos_as_xyz
'x,y,z'
'-x,-y,-z'
'-x,y,-z'
'x,-y,z'
'x+1/2,y+1/2,z'
'-x+1/2,-y+1/2,-z'
'-x+1/2,y+1/2,-z'
'x+1/2,-y+1/2,z'
loop_
_atom_site_label
_atom_site_type_symbol
_atom_site_fract_x
_atom_site_fract_y
_atom_site_fract_z
Co1 Co 0.000 0.000 0.000
O1 O 0.160 0.500 0.812

=====

[17]
# PBE with a Hubbard U Co5O7, optimized geometry
# Crystal system: orthorhombic
data_Co5O7
_chemical_formula_sum 'Co20 O28'
_cell_length_a 2.858
_cell_length_b 9.873
_cell_length_c 18.108
_cell_angle_alpha 90.00
_cell_angle_beta 90.00
_cell_angle_gamma 90.00
_symmetry_space_group_name_H-M 'C m c m'
_symmetry_Int_Tables_number 63
_symmetry_space_group_name_Hall '-C 2c 2'
loop_
_atom_site_label
_atom_site_type_symbol
_atom_site_fract_x
_atom_site_fract_y
_atom_site_fract_z
Co1 Co 0.000 0.000 0.000
Co2 Co 0.000 0.272 0.078
Co3 Co 0.000 0.469 0.658
O1 O 0.000 0.078 0.600
O2 O 0.000 0.157 0.161
O3 O 0.000 0.371 0.521
O4 O 0.000 0.462 0.250

=====

[18]
# PBE with a Hubbard U CoO2, optimized geometry
# Crystal system: hexagonal
data_CoO2
_chemical_formula_sum 'Co8 O16'
_cell_length_a 5.6143
_cell_length_b 5.6143
_cell_length_c 8.5419
_cell_angle_alpha 90.00
_cell_angle_beta 90.00
_cell_angle_gamma 120.00
_symmetry_space_group_name_H-M 'P 63 m c'
_symmetry_Int_Tables_number 186
_symmetry_space_group_name_Hall 'P 6c -2c'
loop_
_atom_site_label
_atom_site_type_symbol
_atom_site_fract_x
_atom_site_fract_y
_atom_site_fract_z
Co1 Co 0.1679 0.3358 0.0000
Co2 Co 0.3333 0.6667 0.2770
O1 O 0.0000 0.0000 0.1110
O2 O 0.0408 0.5204 0.1321
O3 O 0.1660 0.3320 0.3945
O4 O 0.3333 0.6667 0.8896

=====

[19]
# PBE with a Hubbard U CoO2, optimized geometry
# Crystal system: orthorhombic
data_CoO2
_chemical_formula_sum 'Co4 O8'
_cell_length_a 2.783
_cell_length_b 10.882
_cell_length_c 4.716
_cell_angle_alpha 90.00
_cell_angle_beta 90.00
_cell_angle_gamma 90.00
_symmetry_space_group_name_H-M 'F m m 2'
_symmetry_Int_Tables_number 42
_symmetry_space_group_name_Hall 'F 2 -2'
loop_
_atom_site_label
_atom_site_type_symbol
_atom_site_fract_x
_atom_site_fract_y
_atom_site_fract_z
Co1 Co 0.000 0.000 0.000
O1 O 0.000 0.104 0.305

=====

[20]
# PBE with a Hubbard U CoO2, optimized geometry
# Crystal system: orthorhombic
data_CoO2
_chemical_formula_sum 'Co8 O16'
_cell_length_a 8.309
_cell_length_b 2.863
_cell_length_c 9.948
_cell_angle_alpha 90.00
_cell_angle_beta 90.00
_cell_angle_gamma 90.00
_symmetry_space_group_name_H-M 'P n m a'
_symmetry_Int_Tables_number 62
loop_
_symmetry_equiv_pos_as_xyz
'x,y,z'
'-x,-y,-z'
'-x+1/2,-y,z+1/2'
'x+1/2,y,-z+1/2'
'x+1/2,-y+1/2,-z+1/2'
'-x+1/2,y+1/2,z+1/2'
'-x,y+1/2,-z'
'x,-y+1/2,z'
loop_
_atom_site_label
_atom_site_type_symbol
_atom_site_fract_x
_atom_site_fract_y
_atom_site_fract_z
Co1 Co 0.057 0.250 0.115
Co2 Co 0.084 0.250 0.603
O1 O 0.028 0.750 0.714
O2 O 0.083 0.250 0.930
O3 O 0.116 0.750 0.481
O4 O 0.198 0.750 0.147

=====

Per-record raw total energy, eV/cell: -24.2, -135.5, -108.7, -34.1, -70.4, -68.2, -48.2, -51.2, -71.5, -23.7, -304.5, -30.7, -23.7, -95.4, -132.1, -34.1, -277.0, -135.7, -62.6, -136.3